DFT (PBE-GGA) results for crystalline Na2ZnRhCl at its relaxed geometry.

The structure belongs to space group P4/mmm (No. 123); the cell edges are 5.6336, 5.6336 and 4.7097 Å and the angles 90.00°, 90.00° and 90.00°. The asymmetric unit holds Na at (0.0000, 0.5000, 0.0000), Zn at (0.0000, 0.0000, 0.0000), Rh at (0.5000, 0.5000, 0.5000) and Cl at (0.0000, 0.0000, 0.5000).

Its density is 2.77 g/cm3. Its uncorrected formation energy is 293 kJ/mol of formula units.